# 1
# TbNd5Ho8

An optimized crystal structure of TbNd5Ho8 (PBE-GGA, Alexandria via LeMat-Bulk).

Electronic total energy (eV for the cell shown): -123.490
DFT formation energy (meV/atom): 239

a b c (Å): 9.615 9.615 10.112
angles (deg): 90.00 90.00 90.00
Space group I-4 (No. 82)
One atom of each set of equivalent atoms:
Tb (0.000, 0.000, 0.000) [2 per cell]
Nd (0.000, 0.500, 0.750) [2 per cell]
Nd (0.110, 0.286, 0.329) [8 per cell]
Ho (0.071, 0.174, 0.656) [8 per cell]
Ho (0.087, 0.324, 0.997) [8 per cell]

# 2
# Hf3VIr

An optimized crystal structure of Hf3VIr (PBE-GGA, Alexandria via LeMat-Bulk).

Electronic total energy (eV for the cell shown): -45.231
ΔE to the lowest computed polymorph (meV/atom): 0
DFT formation energy (meV/atom): 522

a b c (Å): 5.004 5.004 5.004
angles (deg): 90.00 90.00 90.00
Space group Pm-3m (No. 221)
One atom of each set of equivalent atoms:
Hf (0.000, 0.000, 0.500) [3 per cell]
V (0.500, 0.500, 0.500) [1 per cell]
Ir (0.000, 0.000, 0.000) [1 per cell]

# 3
# CaCd2Au10

An optimized crystal structure of CaCd2Au10 (PBE-GGA, Alexandria via LeMat-Bulk).

Electronic total energy (eV for the cell shown): -156.573
DFT formation energy (meV/atom): -195

a b c (Å): 5.792 13.129 13.816
angles (deg): 90.00 90.00 90.00
Space group Fmmm (No. 69)
One atom of each set of equivalent atoms:
Ca (0.000, 0.000, 0.000) [4 per cell]
Cd (0.250, 0.000, 0.250) [8 per cell]
Au (0.000, 0.108, 0.392) [16 per cell]
Au (0.000, 0.174, 0.170) [16 per cell]
Au (0.250, 0.250, 0.000) [8 per cell]

# 4
# LaCd8Ag4

An optimized crystal structure of LaCd8Ag4 (PBE-GGA, Alexandria via LeMat-Bulk).

Electronic total energy (eV for the cell shown): -51.458
DFT formation energy (meV/atom): -160

a b c (Å): 10.028 10.028 5.637
angles (deg): 90.00 90.00 90.00
Space group I4/mmm (No. 139)
One atom of each set of equivalent atoms:
La (0.000, 0.000, 0.000) [2 per cell]
Cd (0.000, 0.214, 0.500) [8 per cell]
Cd (0.000, 0.347, 0.000) [8 per cell]
Ag (0.250, 0.250, 0.250) [8 per cell]

# 5
# Y3ZrW

An optimized crystal structure of Y3ZrW (PBE-GGA, Alexandria via LeMat-Bulk).

Electronic total energy (eV for the cell shown): -32.682
ΔE to the lowest computed polymorph (meV/atom): 798
DFT formation energy (meV/atom): 1642

a b c (Å): 5.281 5.281 5.281
angles (deg): 90.00 90.00 90.00
Space group Pm-3m (No. 221)
One atom of each set of equivalent atoms:
Y (0.000, 0.000, 0.500) [3 per cell]
Zr (0.000, 0.000, 0.000) [1 per cell]
W (0.500, 0.500, 0.500) [1 per cell]

# 6
# K3Hg4Pt4

An optimized crystal structure of K3Hg4Pt4 (PBE-GGA, Alexandria via LeMat-Bulk).

Electronic total energy (eV for the cell shown): -62.780
DFT formation energy (meV/atom): -248

a b c (Å): 8.422 8.422 8.422
angles (deg): 90.00 90.00 90.00
Space group I-43m (No. 217)
One atom of each set of equivalent atoms:
K (0.000, 0.000, 0.500) [6 per cell]
Hg (0.203, 0.203, 0.797) [8 per cell]
Pt (0.115, 0.115, 0.115) [8 per cell]

# 7
# Tb3CeNd2S6

An optimized crystal structure of Tb3CeNd2S6 (PBE-GGA, Alexandria via LeMat-Bulk).

Electronic total energy (eV for the cell shown): -156.862

a b c (Å): 17.437 3.966 8.044
angles (deg): 90.00 103.90 90.00
Space group C2/m (No. 12)
One atom of each set of equivalent atoms:
Tb (0.000, 0.000, 0.000) [2 per cell]
Tb (0.167, 0.500, 0.335) [4 per cell]
Ce (0.000, 0.000, 0.500) [2 per cell]
Nd (0.166, 0.500, 0.832) [4 per cell]
S (0.003, 0.500, 0.245) [4 per cell]
S (0.164, 0.000, 0.091) [4 per cell]
S (0.169, 0.000, 0.576) [4 per cell]

# 8
# TaNiMo

An optimized crystal structure of TaNiMo (PBE-GGA, Alexandria via LeMat-Bulk).

Electronic total energy (eV for the cell shown): -108.189
ΔE to the lowest computed polymorph (meV/atom): 565
DFT formation energy (meV/atom): 473

a b c (Å): 5.858 5.858 5.858
angles (deg): 90.00 90.00 90.00
Space group F-43m (No. 216)
One atom of each set of equivalent atoms:
Ta (0.000, 0.000, 0.000) [4 per cell]
Ni (0.250, 0.250, 0.250) [4 per cell]
Mo (0.000, 0.000, 0.500) [4 per cell]

# 9
# Y2ErTm

An optimized crystal structure of Y2ErTm (PBE-GGA, Alexandria via LeMat-Bulk).

Electronic total energy (eV for the cell shown): -63.433
ΔE to the lowest computed polymorph (meV/atom): 204
DFT formation energy (meV/atom): 205

a b c (Å): 3.4659 3.4659 37.0918
angles (deg): 90.00 90.00 120.00
Space group R-3m (No. 166, hexagonal axes)
One atom of each set of equivalent atoms:
Y (0.0000, 0.0000, 0.0900) [6 per cell]
Er (0.0000, 0.0000, 0.5000) [3 per cell]
Tm (0.0000, 0.0000, 0.0000) [3 per cell]

# 10
# Cs3As3Pd5

An optimized crystal structure of Cs3As3Pd5 (PBE-GGA, Alexandria via LeMat-Bulk).

Electronic total energy (eV for the cell shown): -45.994
DFT formation energy (meV/atom): -320

a b c (Å): 7.5660 7.5660 6.8331
angles (deg): 90.00 90.00 120.00
Space group P-62m (No. 189)
One atom of each set of equivalent atoms:
Cs (0.0000, 0.3266, 0.0000) [3 per cell]
As (0.0000, 0.3670, 0.5000) [3 per cell]
Pd (0.0000, 0.7443, 0.5000) [3 per cell]
Pd (0.3333, 0.6667, 0.5000) [2 per cell]

# 11
# Cs2Ge2Te5

An optimized crystal structure of Cs2Ge2Te5 (PBE-GGA, Alexandria via LeMat-Bulk).

Electronic total energy (eV for the cell shown): -60.093
ΔE to the lowest computed polymorph (meV/atom): 14

a b c (Å): 14.755 5.231 10.527
angles (deg): 90.00 107.16 90.00
Space group C2/m (No. 12)
One atom of each set of equivalent atoms:
Cs (0.094, 0.000, 0.342) [4 per cell]
Ge (0.164, 0.500, 0.888) [4 per cell]
Te (0.000, 0.500, 0.000) [2 per cell]
Te (0.105, 0.500, 0.630) [4 per cell]
Te (0.135, 0.000, 0.984) [4 per cell]

# 12
# RbAlRh2Cl

An optimized crystal structure of RbAlRh2Cl (PBE-GGA, Alexandria via LeMat-Bulk).

Electronic total energy (eV for the cell shown): -12.220

a b c (Å): 4.906 4.906 6.569
angles (deg): 90.00 90.00 90.00
Space group P4/mmm (No. 123)
One atom of each set of equivalent atoms:
Rb (0.000, 0.000, 0.000) [1 per cell]
Al (0.000, 0.000, 0.500) [1 per cell]
Rh (0.000, 0.500, 0.000) [2 per cell]
Cl (0.500, 0.500, 0.500) [1 per cell]

> What is the electronic total energy in the eleventh record?

-60.093 eV for the cell shown